(1)
## PuSbPd3 (PBE)

Data for a geometry-optimized PuSbPd3 structure.

Its excess energy over the best structure of this formula in the dataset is 0.0 kJ per mole of atoms. For the total moment, the calculation gives 15.2 μB per cell. The energy relative to the elements, uncorrected comes out at -36 kJ/mol of atoms. As for the crystal system: trigonal.

The structure belongs to space group R3m (No. 160, hexagonal axes); the cell edges are 5.4277, 5.4277 and 12.0945 Å and the angles 90.00°, 90.00° and 120.00°. Symmetry generates all atoms from Pu at (0.0000, 0.0000, 0.0000), Sb at (0.0000, 0.0000, 0.2549) and Pd at (0.1674, 0.3347, 0.4512).

---

(2)
## Pu2Sb2Pd (PBE)

Data for a geometry-optimized Pu2Sb2Pd structure.

Its excess energy over the best structure of this formula in the dataset is 0.0 kJ per mole of atoms. For the total moment, the calculation gives 41.3 μB per cell. The energy relative to the elements, uncorrected comes out at -59 kJ/mol of atoms. As for the crystal system: monoclinic.

The structure belongs to space group P2_1/c (No. 14); the cell edges are 9.259, 7.873 and 7.238 Å and the angles 90.00°, 90.70° and 90.00°. Symmetry generates all atoms from Pu at (0.118, 0.233, 0.007), Pu at (0.375, 0.719, 0.499), Sb at (0.122, 0.589, 0.236), Sb at (0.363, 0.084, 0.286) and Pd at (0.378, 0.079, 0.697).

---

(3)
## Pu3Sb4Pd4 (PBE)

Data for a geometry-optimized Pu3Sb4Pd4 structure.

For the total moment, the calculation gives 32.5 μB per cell. The energy relative to the elements, uncorrected comes out at -65 kJ/mol of atoms. As for the crystal system: orthorhombic.

The structure belongs to space group Immm (No. 71); the cell edges are 4.543, 7.383 and 14.634 Å and the angles 90.00°, 90.00° and 90.00°. Symmetry generates all atoms from Pu at (0.000, 0.000, 0.000), Pu at (0.000, 0.500, 0.123), Sb at (0.000, 0.000, 0.214), Sb at (0.000, 0.208, 0.500) and Pd at (0.000, 0.301, 0.321).

---

(4)
## Pu2SbPd5 (PBE)

Data for a geometry-optimized Pu2SbPd5 structure.

For the total moment, the calculation gives 21.3 μB per cell. The energy relative to the elements, uncorrected comes out at -46 kJ/mol of atoms. As for the crystal system: tetragonal.

The structure belongs to space group I4mm (No. 107); the cell edges are 6.285, 6.285 and 8.095 Å and the angles 90.00°, 90.00° and 90.00°. Symmetry generates all atoms from Pu at (0.000, 0.500, 0.000), Sb at (0.000, 0.000, 0.355), Pd at (0.000, 0.000, 0.011) and Pd at (0.217, 0.217, 0.740).

---

(5)
## PuSbPd3 (PBE)

Data for a geometry-optimized PuSbPd3 structure.

Its excess energy over the best structure of this formula in the dataset is 2.5 kJ per mole of atoms. For the total moment, the calculation gives 30.9 μB per cell. The energy relative to the elements, uncorrected comes out at -33 kJ/mol of atoms. As for the crystal system: trigonal.

The structure belongs to space group R3c (No. 161, hexagonal axes); the cell edges are 6.9994, 6.9994 and 15.4242 Å and the angles 90.00°, 90.00° and 120.00°. Symmetry generates all atoms from Pu at (0.0000, 0.0000, 0.0000), Sb at (0.0000, 0.0000, 0.2981) and Pd at (0.1320, 0.4089, 0.3285).

---

(6)
## Pu3Sb5Pd6 (PBE)

Data for a geometry-optimized Pu3Sb5Pd6 structure.

For the total moment, the calculation gives 33.0 μB per cell. The energy relative to the elements, uncorrected comes out at -61 kJ/mol of atoms. As for the crystal system: orthorhombic.

The structure belongs to space group Pmmn (No. 59, origin choice 2); the cell edges are 4.450, 13.548 and 10.036 Å and the angles 90.00°, 90.00° and 90.00°. Symmetry generates all atoms from Pu at (0.250, 0.076, 0.246), Pu at (0.250, 0.750, 0.245), Sb at (0.250, 0.083, 0.861), Sb at (0.250, 0.626, 0.525), Sb at (0.250, 0.750, 0.819), Pd at (0.250, 0.064, 0.601), Pd at (0.250, 0.250, 0.013), Pd at (0.250, 0.250, 0.479) and Pd at (0.250, 0.595, 0.991).